! SCAN SrRhW2, single point on PBEsol structure; values from VASP
! Energy, eV/atom: -47.903
! Energy of formation, eV per formula unit: 3.81
&SYSTEM
  ibrav = 0, nat = 4, ntyp = 3
/
ATOMIC_SPECIES
Sr 87.62 Sr.upf
W 183.84 W.upf
Rh 102.91 Rh.upf
CELL_PARAMETERS angstrom
-0.0491 -0.8999 -2.6872
2.3525 -1.0420 -1.1888
-1.7655 -9.9879 1.8825
ATOMIC_POSITIONS crystal
Sr 0.0000 0.0000 0.0000
W 0.2375 0.2375 0.2874
W 0.7625 0.7625 0.7126
Rh 0.5000 0.5000 0.5000


! SCAN SrRhW2, single point on PBEsol structure; values from VASP
! Energy, eV/atom: -48.059
! Energy of formation, eV per formula unit: 3.18
&SYSTEM
  ibrav = 0, nat = 4, ntyp = 3
/
ATOMIC_SPECIES
Sr 87.62 Sr.upf
W 183.84 W.upf
Rh 102.91 Rh.upf
CELL_PARAMETERS angstrom
2.7652 0.0000 0.0000
0.0000 2.7652 0.0000
0.0000 0.0000 9.3973
ATOMIC_POSITIONS crystal
Sr 0.5000 0.5000 0.5000
W 0.0000 0.0000 0.2033
W 0.0000 0.0000 0.7967
Rh 0.5000 0.5000 0.0000


! SCAN SrRh2W, single point on PBEsol structure; values from VASP
! Energy, eV/atom: -39.517
! Energy of formation, eV per formula unit: 1.44
&SYSTEM
  ibrav = 0, nat = 4, ntyp = 3
/
ATOMIC_SPECIES
Sr 87.62 Sr.upf
Rh 102.91 Rh.upf
W 183.84 W.upf
CELL_PARAMETERS angstrom
2.8497 0.0000 0.0000
0.0000 4.9003 0.1064
0.0000 -0.1344 4.8996
ATOMIC_POSITIONS crystal
Sr 0.5000 0.0000 0.0000
Rh 0.0000 0.0000 0.5000
Rh 0.0000 0.5000 0.0000
W 0.5000 0.5000 0.5000